# ScZnSb3 (PBE-GGA, optimized geometry)
data_ScZnSb3
_chemical_formula_sum 'Sc1 Zn1 Sb3'
_space_group_name_H-M_alt 'P 1'
_space_group_IT_number 1
_space_group_name_Hall 'P 1'
_cell_length_a 5.202
_cell_length_b 5.202
_cell_length_c 5.202
_cell_angle_alpha 90.00
_cell_angle_beta 90.00
_cell_angle_gamma 90.00
loop_
_atom_site_label
_atom_site_type_symbol
_atom_site_fract_x
_atom_site_fract_y
_atom_site_fract_z
_atom_site_occupancy
Sc1 Sc 0.000 0.000 0.000 1
Zn1 Zn 0.500 0.500 0.500 1
Sb1 Sb 0.000 0.500 0.500 1
Sb2 Sb 0.500 0.000 0.500 1
Sb3 Sb 0.500 0.500 0.000 1
# - space group = Pm-3m, No. 221
# - ΔE_f (raw) (eV per atom) = 0.3698
# - E above lowest polymorph (eV/atom) = 0.082
# - DFT total energy (eV for the cell shown) = -18.1

# ScZnSb2 (PBE-GGA, optimized geometry)
data_ScZnSb2
_chemical_formula_sum 'Sc1 Zn1 Sb2'
_space_group_name_H-M_alt 'P 1'
_space_group_IT_number 1
_space_group_name_Hall 'P 1'
_cell_length_a 7.429
_cell_length_b 7.429
_cell_length_c 7.429
_cell_angle_alpha 31.40
_cell_angle_beta 31.40
_cell_angle_gamma 31.40
loop_
_atom_site_label
_atom_site_type_symbol
_atom_site_fract_x
_atom_site_fract_y
_atom_site_fract_z
_atom_site_occupancy
Sc1 Sc 0.000 0.000 0.000 1
Zn1 Zn 0.500 0.500 0.500 1
Sb1 Sb 0.245 0.245 0.245 1
Sb2 Sb 0.755 0.755 0.755 1
# - space group = R-3m, No. 166
# - ΔE_f (raw) (eV per atom) = -0.2487
# - DFT total energy (eV for the cell shown) = -16.8

# ScZnSb2 (PBE-GGA, optimized geometry)
data_ScZnSb2
_chemical_formula_sum 'Sc1 Zn1 Sb2'
_space_group_name_H-M_alt 'P 1'
_space_group_IT_number 1
_space_group_name_Hall 'P 1'
_cell_length_a 5.482
_cell_length_b 5.482
_cell_length_c 5.482
_cell_angle_alpha 131.50
_cell_angle_beta 131.50
_cell_angle_gamma 71.01
loop_
_atom_site_label
_atom_site_type_symbol
_atom_site_fract_x
_atom_site_fract_y
_atom_site_fract_z
_atom_site_occupancy
Sc1 Sc 0.000 0.000 0.000 1
Zn1 Zn 0.500 0.500 0.000 1
Sb1 Sb 0.250 0.750 0.500 1
Sb2 Sb 0.750 0.250 0.500 1
# - space group = I4/mmm, No. 139
# - ΔE_f (raw) (eV per atom) = -0.3014
# - DFT total energy (eV for the cell shown) = -17.1

# ScZnSb2 (PBE-GGA, optimized geometry)
data_ScZnSb2
_chemical_formula_sum 'Sc1 Zn1 Sb2'
_space_group_name_H-M_alt 'P 1'
_space_group_IT_number 1
_space_group_name_Hall 'P 1'
_cell_length_a 5.747
_cell_length_b 5.747
_cell_length_c 4.363
_cell_angle_alpha 98.94
_cell_angle_beta 98.94
_cell_angle_gamma 39.93
loop_
_atom_site_label
_atom_site_type_symbol
_atom_site_fract_x
_atom_site_fract_y
_atom_site_fract_z
_atom_site_occupancy
Sc1 Sc 0.000 0.000 0.000 1
Zn1 Zn 0.805 0.805 0.423 1
Sb1 Sb 0.279 0.279 0.945 1
Sb2 Sb 0.554 0.554 0.524 1
# - space group = Cm, No. 8
# - ΔE_f (raw) (eV per atom) = -0.3988
# - DFT total energy (eV for the cell shown) = -17.4

# Sc2ZnSb2 (PBE-GGA, optimized geometry)
data_Sc2ZnSb2
_chemical_formula_sum 'Sc4 Zn2 Sb4'
_space_group_name_H-M_alt 'P 1'
_space_group_IT_number 1
_space_group_name_Hall 'P 1'
_cell_length_a 7.719
_cell_length_b 7.719
_cell_length_c 3.926
_cell_angle_alpha 90.00
_cell_angle_beta 90.00
_cell_angle_gamma 90.00
loop_
_atom_site_label
_atom_site_type_symbol
_atom_site_fract_x
_atom_site_fract_y
_atom_site_fract_z
_atom_site_occupancy
Sc1 Sc 0.147 0.353 0.000 1
Sc2 Sc 0.353 0.853 0.000 1
Sc3 Sc 0.647 0.147 0.000 1
Sc4 Sc 0.853 0.647 0.000 1
Zn1 Zn 0.000 0.000 0.000 1
Zn2 Zn 0.500 0.500 0.000 1
Sb1 Sb 0.160 0.660 0.500 1
Sb2 Sb 0.340 0.160 0.500 1
Sb3 Sb 0.660 0.840 0.500 1
Sb4 Sb 0.840 0.340 0.500 1
# - space group = P4/mbm, No. 127
# - ΔE_f (raw) (eV per atom) = -0.5462
# - E above lowest polymorph (eV/atom) = 0.000
# - DFT total energy (eV for the cell shown) = -49.8

# ScZnSb3 (PBE-GGA, optimized geometry)
data_ScZnSb3
_chemical_formula_sum 'Sc1 Zn1 Sb3'
_space_group_name_H-M_alt 'P 1'
_space_group_IT_number 1
_space_group_name_Hall 'P 1'
_cell_length_a 5.462
_cell_length_b 5.462
_cell_length_c 5.462
_cell_angle_alpha 90.00
_cell_angle_beta 90.00
_cell_angle_gamma 90.00
loop_
_atom_site_label
_atom_site_type_symbol
_atom_site_fract_x
_atom_site_fract_y
_atom_site_fract_z
_atom_site_occupancy
Sc1 Sc 0.000 0.000 0.000 1
Zn1 Zn 0.500 0.500 0.500 1
Sb1 Sb 0.000 0.000 0.500 1
Sb2 Sb 0.000 0.500 0.000 1
Sb3 Sb 0.500 0.000 0.000 1
# - space group = Pm-3m, No. 221
# - ΔE_f (raw) (eV per atom) = 0.2882
# - E above lowest polymorph (eV/atom) = 0.000
# - DFT total energy (eV for the cell shown) = -18.5

# Sc2Zn2Sb (PBE-GGA, optimized geometry)
data_Sc2Zn2Sb
_chemical_formula_sum 'Sc4 Zn4 Sb2'
_space_group_name_H-M_alt 'P 1'
_space_group_IT_number 1
_space_group_name_Hall 'P 1'
_cell_length_a 7.615
_cell_length_b 7.615
_cell_length_c 3.736
_cell_angle_alpha 90.00
_cell_angle_beta 90.00
_cell_angle_gamma 90.00
loop_
_atom_site_label
_atom_site_type_symbol
_atom_site_fract_x
_atom_site_fract_y
_atom_site_fract_z
_atom_site_occupancy
Sc1 Sc 0.161 0.339 0.000 1
Sc2 Sc 0.339 0.839 0.000 1
Sc3 Sc 0.661 0.161 0.000 1
Sc4 Sc 0.839 0.661 0.000 1
Zn1 Zn 0.135 0.635 0.500 1
Zn2 Zn 0.365 0.135 0.500 1
Zn3 Zn 0.635 0.865 0.500 1
Zn4 Zn 0.865 0.365 0.500 1
Sb1 Sb 0.000 0.000 0.000 1
Sb2 Sb 0.500 0.500 0.000 1
# - space group = P4/mbm, No. 127
# - ΔE_f (raw) (eV per atom) = -0.2186
# - E above lowest polymorph (eV/atom) = 0.215
# - DFT total energy (eV for the cell shown) = -40.9

# ScZn2Sb2 (PBE-GGA, optimized geometry)
data_ScZn2Sb2
_chemical_formula_sum 'Sc1 Zn2 Sb2'
_space_group_name_H-M_alt 'P 1'
_space_group_IT_number 1
_space_group_name_Hall 'P 1'
_cell_length_a 7.895
_cell_length_b 7.895
_cell_length_c 7.895
_cell_angle_alpha 151.41
_cell_angle_beta 151.41
_cell_angle_gamma 40.88
loop_
_atom_site_label
_atom_site_type_symbol
_atom_site_fract_x
_atom_site_fract_y
_atom_site_fract_z
_atom_site_occupancy
Sc1 Sc 0.000 0.000 0.000 1
Zn1 Zn 0.250 0.750 0.500 1
Zn2 Zn 0.750 0.250 0.500 1
Sb1 Sb 0.394 0.394 0.000 1
Sb2 Sb 0.606 0.606 0.000 1
# - space group = I4/mmm, No. 139
# - ΔE_f (raw) (eV per atom) = -0.1553
# - DFT total energy (eV for the cell shown) = -17.9

# ScZnSb2 (PBE-GGA, optimized geometry)
data_ScZnSb2
_chemical_formula_sum 'Sc1 Zn1 Sb2'
_space_group_name_H-M_alt 'P 1'
_space_group_IT_number 1
_space_group_name_Hall 'P 1'
_cell_length_a 10.240
_cell_length_b 10.240
_cell_length_c 10.240
_cell_angle_alpha 19.12
_cell_angle_beta 19.12
_cell_angle_gamma 19.12
loop_
_atom_site_label
_atom_site_type_symbol
_atom_site_fract_x
_atom_site_fract_y
_atom_site_fract_z
_atom_site_occupancy
Sc1 Sc 0.000 0.000 0.000 1
Zn1 Zn 0.263 0.263 0.263 1
Sb1 Sb 0.529 0.529 0.529 1
Sb2 Sb 0.744 0.744 0.744 1
# - space group = R3m, No. 160
# - ΔE_f (raw) (eV per atom) = -0.0748
# - DFT total energy (eV for the cell shown) = -16.1

# ScZn3Sb (PBE-GGA, optimized geometry)
data_ScZn3Sb
_chemical_formula_sum 'Sc1 Zn3 Sb1'
_space_group_name_H-M_alt 'P 1'
_space_group_IT_number 1
_space_group_name_Hall 'P 1'
_cell_length_a 5.103
_cell_length_b 5.103
_cell_length_c 5.103
_cell_angle_alpha 90.00
_cell_angle_beta 90.00
_cell_angle_gamma 90.00
loop_
_atom_site_label
_atom_site_type_symbol
_atom_site_fract_x
_atom_site_fract_y
_atom_site_fract_z
_atom_site_occupancy
Sc1 Sc 0.000 0.000 0.000 1
Zn1 Zn 0.000 0.500 0.500 1
Zn2 Zn 0.500 0.000 0.500 1
Zn3 Zn 0.500 0.500 0.000 1
Sb1 Sb 0.500 0.500 0.500 1
# - space group = Pm-3m, No. 221
# - ΔE_f (raw) (eV per atom) = 0.6312
# - E above lowest polymorph (eV/atom) = 0.000
# - DFT total energy (eV for the cell shown) = -11.1

# Sc2ZnSb2 (PBE-GGA, optimized geometry)
data_Sc2ZnSb2
_chemical_formula_sum 'Sc4 Zn2 Sb4'
_space_group_name_H-M_alt 'P 1'
_space_group_IT_number 1
_space_group_name_Hall 'P 1'
_cell_length_a 7.672
_cell_length_b 7.672
_cell_length_c 3.910
_cell_angle_alpha 90.00
_cell_angle_beta 90.00
_cell_angle_gamma 90.00
loop_
_atom_site_label
_atom_site_type_symbol
_atom_site_fract_x
_atom_site_fract_y
_atom_site_fract_z
_atom_site_occupancy
Sc1 Sc 0.151 0.349 0.000 1
Sc2 Sc 0.349 0.849 0.000 1
Sc3 Sc 0.651 0.151 0.000 1
Sc4 Sc 0.849 0.651 0.000 1
Zn1 Zn 0.000 0.000 0.500 1
Zn2 Zn 0.500 0.500 0.500 1
Sb1 Sb 0.155 0.655 0.500 1
Sb2 Sb 0.345 0.155 0.500 1
Sb3 Sb 0.655 0.845 0.500 1
Sb4 Sb 0.845 0.345 0.500 1
# - space group = P4/mbm, No. 127
# - ΔE_f (raw) (eV per atom) = -0.5249
# - E above lowest polymorph (eV/atom) = 0.021
# - DFT total energy (eV for the cell shown) = -49.6

# ScZnSb2 (PBE-GGA, optimized geometry)
data_ScZnSb2
_chemical_formula_sum 'Sc1 Zn1 Sb2'
_space_group_name_H-M_alt 'P 1'
_space_group_IT_number 1
_space_group_name_Hall 'P 1'
_cell_length_a 3.972
_cell_length_b 4.217
_cell_length_c 5.754
_cell_angle_alpha 90.00
_cell_angle_beta 107.31
_cell_angle_gamma 90.00
loop_
_atom_site_label
_atom_site_type_symbol
_atom_site_fract_x
_atom_site_fract_y
_atom_site_fract_z
_atom_site_occupancy
Sc1 Sc 0.000 0.000 0.000 1
Zn1 Zn 0.165 0.500 0.381 1
Sb1 Sb 0.458 0.500 0.892 1
Sb2 Sb 0.693 0.000 0.438 1
# - space group = Pm, No. 6
# - ΔE_f (raw) (eV per atom) = -0.3807
# - DFT total energy (eV for the cell shown) = -17.4

# ScZnSb4 (PBE-GGA, optimized geometry)
data_ScZnSb4
_chemical_formula_sum 'Sc1 Zn1 Sb4'
_space_group_name_H-M_alt 'P 1'
_space_group_IT_number 1
_space_group_name_Hall 'P 1'
_cell_length_a 6.179
_cell_length_b 6.179
_cell_length_c 6.179
_cell_angle_alpha 60.00
_cell_angle_beta 60.00
_cell_angle_gamma 60.00
loop_
_atom_site_label
_atom_site_type_symbol
_atom_site_fract_x
_atom_site_fract_y
_atom_site_fract_z
_atom_site_occupancy
Sc1 Sc 0.000 0.000 0.000 1
Zn1 Zn 0.750 0.750 0.750 1
Sb1 Sb 0.375 0.375 0.375 1
Sb2 Sb 0.375 0.375 0.874 1
Sb3 Sb 0.375 0.874 0.375 1
Sb4 Sb 0.874 0.375 0.375 1
# - space group = F-43m, No. 216
# - ΔE_f (raw) (eV per atom) = 0.2406
# - DFT total energy (eV for the cell shown) = -22.7